# YEr3Pu2Te6 (GGA-PBE, optimized geometry)
# Total magnetization, μB/atom: 1.01
# E_form (uncorrected), kJ/mol of formula units: -1406.9
# Density, Mg/m³: 8.70
# DOS(E_F), states/eV/cell: 22.6
data_YEr3Pu2Te6
_cell_length_a 4.342
_cell_length_b 8.767
_cell_length_c 9.771
_cell_angle_alpha 103.42
_cell_angle_beta 102.84
_cell_angle_gamma 90.00
_space_group_name_H-M_alt 'P 1'
_space_group_IT_number 1
_space_group_name_Hall 'P 1'
loop_
_atom_site_label
_atom_site_fract_x
_atom_site_fract_y
_atom_site_fract_z
Te1 0.333 0.922 0.666
Te2 0.665 0.588 0.330
Te3 0.997 0.251 0.994
Te4 0.003 0.749 0.006
Te5 0.335 0.412 0.670
Te6 0.667 0.078 0.334
Er1 0.168 0.834 0.336
Er2 0.500 0.500 0.000
Er3 0.832 0.166 0.664
Y1 0.500 0.000 0.000
Pu1 0.834 0.667 0.668
Pu2 0.166 0.333 0.332